No. 1
# Si2W

A relaxed Si2W crystal (GGA-PBE, Alexandria via LeMat-Bulk).

## Properties
spin magnetization: 0.0 μB per formula unit
energy relative to the lowest polymorph listed for this composition: 275 meV/atom
energy relative to the elements, uncorrected: -0.074 eV per atom

a b c (Å): 4.7711 4.3567 8.0359
angles (deg): 90.00 90.00 90.00
Closest atoms and distances in Å follow each position.
Space group Pnma (No. 62)
Unique sites:
Si 0.1387 0.2500 0.0220 (multiplicity 4)  4 W 2.51-2.68, 5 Si 2.57-2.81
Si 0.1431 0.2500 0.7009 (multiplicity 4)  5 Si 2.51-2.81, 5 W 2.58-2.81
W 0.1388 0.2500 0.3799 (multiplicity 4)  9 Si 2.51-2.81

No. 2
# Si4W3

A relaxed Si4W3 crystal (GGA-PBE, Alexandria via LeMat-Bulk).

## Properties
spin magnetization: 0.0 μB per formula unit
energy relative to the lowest polymorph listed for this composition: 589 meV/atom
energy relative to the elements, uncorrected: 0.281 eV per atom

a b c (Å): 5.2854 5.2854 4.4755
angles (deg): 90.00 90.00 120.00
Closest atoms and distances in Å follow each position.
Space group P6/mmm (No. 191)
Unique sites:
Si 0.0000 0.0000 0.2500 (multiplicity 2)  2 Si 2.24
Si 0.3333 0.6667 0.0000 (multiplicity 2)  6 W 2.71
W 0.0000 0.5000 0.5000 (multiplicity 3)  4 W 2.64, 8 Si 2.71-2.87

No. 3
# SiW

A relaxed SiW crystal (GGA-PBE, Alexandria via LeMat-Bulk).

## Properties
spin magnetization: 0.0 μB per formula unit
energy relative to the elements, uncorrected: -0.170 eV per atom

a b c (Å): 8.9323 3.2725 6.1650
angles (deg): 90.00 102.76 90.00
Closest atoms and distances in Å follow each position.
Space group Cm (No. 8)
Unique sites:
Si 0.0000 0.0000 0.0000 (multiplicity 2)  5 W 2.59-2.69, 3 Si 2.66-2.68
Si 0.0581 0.0000 0.5949 (multiplicity 2)  7 W 2.46-2.63, 1 Si 2.66
Si 0.3283 0.0000 0.1890 (multiplicity 2)  6 W 2.54-2.71, 2 Si 2.68
W 0.1300 0.5000 0.3346 (multiplicity 2)  7 Si 2.47-2.71
W 0.2028 0.5000 0.8798 (multiplicity 2)  7 Si 2.54-2.67
W 0.3547 0.0000 0.6077 (multiplicity 2)  4 Si 2.46-2.63

No. 4
# Si2W

A relaxed Si2W crystal (GGA-PBE, Alexandria via LeMat-Bulk).

## Properties
spin magnetization: 0.0 μB per formula unit
energy relative to the lowest polymorph listed for this composition: 382 meV/atom
energy relative to the elements, uncorrected: 0.033 eV per atom

a b c (Å): 3.0193 12.7071 4.6058
angles (deg): 90.00 90.00 90.00
Closest atoms and distances in Å follow each position.
Space group Cmcm (No. 63)
Unique sites:
Si 0.0000 0.0455 0.2500 (multiplicity 4)  4 Si 2.58-2.61, 2 W 2.58
Si 0.0000 0.3776 0.2500 (multiplicity 4)  4 W 2.56-2.61, 2 Si 2.61
W 0.0000 0.2896 0.7500 (multiplicity 4)  6 Si 2.56-2.61

No. 5
# Si3W4

A relaxed Si3W4 crystal (GGA-PBE, Alexandria via LeMat-Bulk).

## Properties
spin magnetization: 0.0 μB per formula unit
energy relative to the lowest polymorph listed for this composition: 0 meV/atom
energy relative to the elements, uncorrected: -0.095 eV per atom

a b c (Å): 3.1778 3.1778 20.1085
angles (deg): 90.00 90.00 90.00
Closest atoms and distances in Å follow each position.
Space group I4/mmm (No. 139)
Unique sites:
Si 0.0000 0.0000 0.0000 (multiplicity 2)  8 W 2.64
Si 0.0000 0.0000 0.2848 (multiplicity 4)  5 W 2.58-2.66, 4 Si 2.65
W 0.0000 0.0000 0.1525 (multiplicity 4)  5 Si 2.58-2.66, 4 W 2.80
W 0.0000 0.0000 0.4306 (multiplicity 4)  5 Si 2.64-2.93, 5 W 2.79-2.80

No. 6
# SiW

A relaxed SiW crystal (GGA-PBE, Alexandria via LeMat-Bulk).

## Properties
spin magnetization: 0.0 μB per formula unit
energy relative to the elements, uncorrected: 0.054 eV per atom

a b c (Å): 2.7477 4.8115 4.4659
angles (deg): 90.00 90.00 90.00
Closest atoms and distances in Å follow each position.
Space group Pmmn (No. 59, origin choice 2)
Unique sites:
Si 0.2500 0.2500 0.0958 (multiplicity 2)  6 W 2.59-2.75, 6 Si 2.75-2.90
W 0.2500 0.7500 0.3961 (multiplicity 2)  6 Si 2.59-2.75, 2 W 2.75

No. 7
# Si2W

A relaxed Si2W crystal (GGA-PBE, Alexandria via LeMat-Bulk).

## Properties
spin magnetization: 0.0 μB per formula unit
energy relative to the lowest polymorph listed for this composition: 271 meV/atom
energy relative to the elements, uncorrected: -0.078 eV per atom

a b c (Å): 3.2139 12.3873 4.1933
angles (deg): 90.00 90.00 90.00
Closest atoms and distances in Å follow each position.
Space group Cmcm (No. 63)
Unique sites:
Si 0.0000 0.0650 0.2500 (multiplicity 4)  6 W 2.61-2.68, 4 Si 2.64
Si 0.0000 0.2660 0.7500 (multiplicity 4)  4 W 2.60-2.67, 6 Si 2.64-2.67
W 0.0000 0.3994 0.2500 (multiplicity 4)  10 Si 2.60-2.68

No. 8
# Si5W3

A relaxed Si5W3 crystal (GGA-PBE, Alexandria via LeMat-Bulk).

## Properties
spin magnetization: 0.0 μB per formula unit
energy relative to the lowest polymorph listed for this composition: 67 meV/atom
energy relative to the elements, uncorrected: 0.143 eV per atom

a b c (Å): 6.9185 7.5153 4.3688
angles (deg): 90.00 90.00 90.00
Closest atoms and distances in Å follow each position.
Space group Cmmm (No. 65)
Unique sites:
Si 0.0000 0.0000 0.0000 (multiplicity 2)  4 Si 2.55, 4 W 2.67
Si 0.1939 0.5000 0.5000 (multiplicity 4)  6 W 2.56-2.62, 1 Si 2.68
Si 0.2500 0.2500 0.0000 (multiplicity 4)  6 W 2.55-2.81, 2 Si 2.55
W 0.0000 0.2044 0.5000 (multiplicity 4)  10 Si 2.60-2.81
W 0.0000 0.5000 0.0000 (multiplicity 2)  8 Si 2.55-2.56

No. 9
# Si4W

A relaxed Si4W crystal (GGA-PBE, Alexandria via LeMat-Bulk).

## Properties
spin magnetization: 0.0 μB per formula unit
energy relative to the lowest polymorph listed for this composition: 164 meV/atom
energy relative to the elements, uncorrected: 0.404 eV per atom

a b c (Å): 5.6410 5.6410 5.6410
angles (deg): 90.00 90.00 90.00
Closest atoms and distances in Å follow each position.
Space group Im-3m (No. 229)
Unique sites:
Si 0.2500 0.2500 0.2500 (multiplicity 8)  2 W 2.44
W 0.0000 0.0000 0.0000 (multiplicity 2)  8 Si 2.44

No. 10
# SiW

A relaxed SiW crystal (GGA-PBE, Alexandria via LeMat-Bulk).

## Properties
spin magnetization: 0.0 μB per formula unit
energy relative to the elements, uncorrected: 0.621 eV per atom

a b c (Å): 4.2419 4.2419 4.8780
angles (deg): 90.00 90.00 120.00
Closest atoms and distances in Å follow each position.
Space group P6_3/mmc (No. 194)
Unique sites:
Si 0.3333 0.6667 0.2500 (multiplicity 2)  5 W 2.44-2.45
W 0.3333 0.6667 0.7500 (multiplicity 2)  5 Si 2.44-2.45

No. 11
# SiW

A relaxed SiW crystal (GGA-PBE, Alexandria via LeMat-Bulk).

## Properties
spin magnetization: 0.0 μB per formula unit
energy relative to the elements, uncorrected: 0.101 eV per atom

a b c (Å): 3.4134 3.4134 5.2655
angles (deg): 90.00 90.00 90.00
Closest atoms and distances in Å follow each position.
Space group P4/nmm (No. 129, origin choice 2)
Unique sites:
Si 0.2500 0.7500 0.0000 (multiplicity 2)  4 Si 2.41, 4 W 2.58
W 0.2500 0.2500 0.3663 (multiplicity 2)  4 Si 2.58, 4 W 2.79

No. 12
# Si23W

A relaxed Si23W crystal (GGA-PBE, Alexandria via LeMat-Bulk).

## Properties
spin magnetization: 4.1 μB per formula unit
energy relative to the elements, uncorrected: 0.279 eV per atom

a b c (Å): 10.1842 10.1842 10.1842
angles (deg): 90.00 90.00 90.00
Closest atoms and distances in Å follow each position.
Space group Pm-3n (No. 223)
Unique sites:
Si 0.0000 0.1162 0.3084 (multiplicity 24)  4 Si 2.35-2.38
Si 0.0000 0.2500 0.5000 (multiplicity 6)  4 Si 2.38
Si 0.1807 0.1807 0.1807 (multiplicity 16)  4 Si 2.35-2.44
W 0.0000 0.0000 0.0000 (multiplicity 2)  20 Si 3.19-3.36

What is the energy relative to the elements, uncorrected in the third record?
-0.170 eV per atom

What is the spin magnetization in the sixth record?
0.0 μB per formula unit